! LaTmAl (PBE, optimized geometry); values from VASP
&SYSTEM
  ibrav = 0, nat = 9, ntyp = 3
/
ATOMIC_SPECIES
La 138.91 La.upf
Tm 168.93 Tm.upf
Al 26.98 Al.upf
CELL_PARAMETERS angstrom
8.1571 0.0000 0.0000
-4.0786 7.0643 0.0000
0.0000 0.0000 4.5882
ATOMIC_POSITIONS angstrom
La -1.6242 2.8131 0.0000
La 3.2483 0.0000 0.0000
La 2.4544 4.2512 0.0000
Tm -3.0187 5.2286 2.2941
Tm 1.0599 1.8357 2.2941
Tm 6.0374 0.0000 2.2941
Al 0.0000 0.0000 0.0000
Al 0.0000 4.7095 2.2941
Al 4.0786 2.3548 2.2941
! Calculated formation energy (eV per atom): -0.223
! ΔE to the lowest computed polymorph (meV per atom): 3.0
! Density of states at the Fermi level (states/eV per cell): 10.8
! DFT total energy (eV/cell): -41.4

---

! LaTm5Al6 (PBE, optimized geometry); values from VASP
&SYSTEM
  ibrav = 0, nat = 12, ntyp = 3
/
ATOMIC_SPECIES
La 138.91 La.upf
Tm 168.93 Tm.upf
Al 26.98 Al.upf
CELL_PARAMETERS angstrom
-2.5518 3.5588 7.6645
2.5518 -3.5588 7.6645
2.5518 3.5588 -7.6645
ATOMIC_POSITIONS angstrom
La 0.0000 0.0000 0.0000
Tm 2.5518 0.0000 2.4668
Tm 0.0000 0.0000 5.0683
Tm 0.0000 3.5588 0.0000
Tm 0.0000 0.0000 10.2606
Tm 0.0000 3.5588 5.1977
Al 2.5518 -1.6997 5.0271
Al 2.5518 1.9379 0.0000
Al 0.0000 1.8591 2.6374
Al 2.5518 1.6997 5.0271
Al 0.0000 1.6209 7.6645
Al 0.0000 5.2585 2.6374
! Calculated formation energy (eV per atom): -0.377
! Density of states at the Fermi level (states/eV per cell): 3.9
! DFT total energy (eV/cell): -54.3

---

! La2TmAl (PBE, optimized geometry); values from VASP
&SYSTEM
  ibrav = 0, nat = 4, ntyp = 3
/
ATOMIC_SPECIES
La 138.91 La.upf
Tm 168.93 Tm.upf
Al 26.98 Al.upf
CELL_PARAMETERS angstrom
3.7623 0.0000 0.0000
0.0000 3.7623 0.0000
0.0000 0.0000 8.7208
ATOMIC_POSITIONS angstrom
La 0.0000 0.0000 1.8845
La 0.0000 0.0000 6.8363
Tm 1.8811 1.8811 4.3604
Al 1.8811 1.8811 0.0000
! Calculated formation energy (eV per atom): -0.118
! ΔE to the lowest computed polymorph (meV per atom): 42.7
! Density of states at the Fermi level (states/eV per cell): 6.6
! DFT total energy (eV/cell): -18.5

---

! LaTmAl (PBE, optimized geometry); values from VASP
&SYSTEM
  ibrav = 0, nat = 3, ntyp = 3
/
ATOMIC_SPECIES
La 138.91 La.upf
Tm 168.93 Tm.upf
Al 26.98 Al.upf
CELL_PARAMETERS angstrom
5.1382 0.0000 0.0000
-2.5691 4.4498 0.0000
0.0000 0.0000 3.7043
ATOMIC_POSITIONS angstrom
La 0.0000 0.0000 0.0000
Tm 2.5691 1.4833 2.0641
Al 0.0000 2.9665 1.4390
! Calculated formation energy (eV per atom): -0.142
! ΔE to the lowest computed polymorph (meV per atom): 84.1
! Density of states at the Fermi level (states/eV per cell): 1.8
! DFT total energy (eV/cell): -13.6

---

! LaTm3Al2 (PBE, optimized geometry); values from VASP
&SYSTEM
  ibrav = 0, nat = 6, ntyp = 3
/
ATOMIC_SPECIES
La 138.91 La.upf
Tm 168.93 Tm.upf
Al 26.98 Al.upf
CELL_PARAMETERS angstrom
3.5217 0.0000 0.0000
0.0000 3.5217 0.0000
0.0000 0.0000 12.6103
ATOMIC_POSITIONS angstrom
La 0.0000 0.0000 0.0000
Tm 1.7608 1.7608 2.6543
Tm 1.7608 1.7608 6.3051
Tm 1.7608 1.7608 9.9560
Al 0.0000 0.0000 4.4660
Al 0.0000 0.0000 8.1443
! Calculated formation energy (eV per atom): -0.259
! Density of states at the Fermi level (states/eV per cell): 4.8
! DFT total energy (eV/cell): -27.4

---

! LaTmAl (PBE, optimized geometry); values from VASP
&SYSTEM
  ibrav = 0, nat = 3, ntyp = 3
/
ATOMIC_SPECIES
La 138.91 La.upf
Tm 168.93 Tm.upf
Al 26.98 Al.upf
CELL_PARAMETERS angstrom
-1.7569 1.7569 6.8500
1.7569 -1.7569 6.8500
1.7569 1.7569 -6.8500
ATOMIC_POSITIONS angstrom
La 0.0000 0.0000 0.0000
Tm 0.0000 0.0000 4.0040
Al 0.0000 0.0000 9.0112
! Calculated formation energy (eV per atom): -0.219
! ΔE to the lowest computed polymorph (meV per atom): 7.2
! Density of states at the Fermi level (states/eV per cell): 2.5
! DFT total energy (eV/cell): -13.8

---

! LaTm4Al4 (PBE, optimized geometry); values from VASP
&SYSTEM
  ibrav = 0, nat = 9, ntyp = 3
/
ATOMIC_SPECIES
La 138.91 La.upf
Tm 168.93 Tm.upf
Al 26.98 Al.upf
CELL_PARAMETERS angstrom
-5.6108 5.6108 1.7611
5.6108 -5.6108 1.7611
5.6108 5.6108 -1.7611
ATOMIC_POSITIONS angstrom
La 0.0000 0.0000 0.0000
Tm 3.5315 0.0000 0.0000
Tm 7.6901 0.0000 0.0000
Tm 0.0000 3.5315 0.0000
Tm 0.0000 7.6901 0.0000
Al 3.5309 3.5309 0.0000
Al 2.0800 -2.0800 1.7611
Al -2.0800 2.0800 1.7611
Al 2.0800 2.0800 1.7611
! Calculated formation energy (eV per atom): -0.282
! Density of states at the Fermi level (states/eV per cell): 9.1
! DFT total energy (eV/cell): -40.3

---

! La4Tm3Al4 (PBE, optimized geometry); values from VASP
&SYSTEM
  ibrav = 0, nat = 11, ntyp = 3
/
ATOMIC_SPECIES
La 138.91 La.upf
Tm 168.93 Tm.upf
Al 26.98 Al.upf
CELL_PARAMETERS angstrom
-2.2910 4.6736 7.6971
2.2910 -4.6736 7.6971
2.2910 4.6736 -7.6971
ATOMIC_POSITIONS angstrom
La 2.2910 -3.1249 5.1971
La 0.0000 1.5486 2.5000
La 2.2910 3.1249 5.1971
La 0.0000 7.7985 2.5000
Tm 2.2910 0.0000 0.0000
Tm 0.0000 0.0000 5.9895
Tm 0.0000 0.0000 9.4047
Al 2.2910 0.0000 4.0633
Al 0.0000 3.3642 0.0000
Al 0.0000 5.9829 0.0000
Al 0.0000 4.6736 3.6339
! Calculated formation energy (eV per atom): -0.075
! Density of states at the Fermi level (states/eV per cell): 12.1
! DFT total energy (eV/cell): -48.9

---

Volume (Å³/cell)
264.39, 278.42, 123.44, 84.69, 156.40, 84.58, 221.77, 329.66